Below is a crystal of CsRhC3 relaxed with PBEsol, with properties calculated at the SCAN level.

Unit cell a=4.306 b=4.306 c=4.306 alpha=90.00 beta=90.00 gamma=90.00
Fractional positions:
Cs (0.000, 0.000, 0.000)
Rh (0.500, 0.500, 0.500)
C (0.000, 0.000, 0.500)
C (0.000, 0.500, 0.000)
C (0.500, 0.000, 0.000)

Output
Space group: No. 221
Formation enthalpy at 0 K in eV per atom: 4.713
Total magnetic moment in μB per cell: 0.000
DFT total energy in eV per atom: -15.663